Version one
GdAgHg after structural relaxation. Source: the Open Quantum Materials Database, functional PBE.

a = 4.8197 Å, b = 4.8197 Å, c = 4.8197 Å
α = 60.00°, β = 60.00°, γ = 60.00°
Each line ends with the local moment (μB).
Fractional positions:
1 Ag 0.0000 0.0000 0.0000  0.03
2 Gd 0.2500 0.2500 0.2500  0.17
3 Hg 0.7500 0.7500 0.7500  0.04


Version two
GdAgHg after structural relaxation. Source: the Open Quantum Materials Database, functional PBE.

a = 4.9203 Å, b = 4.9203 Å, c = 4.9203 Å
α = 60.00°, β = 60.00°, γ = 60.00°
Fractional positions:
1 Ag 0.2500 0.2500 0.2500
2 Gd 0.0000 0.0000 0.0000
3 Hg 0.7500 0.7500 0.7500


Version three
GdAgHg after structural relaxation. Source: the Open Quantum Materials Database, functional PBE.

a = 7.9779 Å, b = 7.9779 Å, c = 3.8248 Å
α = 90.00°, β = 90.00°, γ = 120.00°
Fractional positions:
1 Ag 0.6667 0.3333 0.0000
2 Ag 0.3333 0.6667 0.0000
3 Ag 0.0000 0.0000 0.5000
4 Gd 0.3967 0.0000 0.5000
5 Gd 0.0000 0.3967 0.5000
6 Gd 0.6033 0.6033 0.5000
7 Hg 0.7251 0.0000 0.0000
8 Hg 0.2749 0.2749 0.0000
9 Hg 0.0000 0.7251 0.0000


Most stable pick: version three. Distance to second place: 0.178 eV/atom.


Version one
GdMgAgS3 after structural relaxation. Source: the Open Quantum Materials Database, functional PBE.

a = 8.0848 Å, b = 3.8915 Å, c = 8.8636 Å
α = 90.00°, β = 101.64°, γ = 90.00°
Fractional positions:
1 Ag 0.3764 0.7500 0.4399
2 Ag 0.6236 0.2500 0.5601
3 Gd 0.2083 0.2500 0.1496
4 Gd 0.7917 0.7500 0.8504
5 Mg 0.8761 0.2500 0.3371
6 Mg 0.1239 0.7500 0.6629
7 S 0.9361 0.7500 0.1589
8 S 0.4359 0.7500 0.1755
9 S 0.1835 0.2500 0.4817
10 S 0.8165 0.7500 0.5183
11 S 0.5641 0.2500 0.8245
12 S 0.0639 0.2500 0.8411


Version two
GdMgAgS3 after structural relaxation. Source: the Open Quantum Materials Database, functional PBE.

a = 3.7910 Å, b = 6.5545 Å, c = 10.6458 Å
α = 90.00°, β = 90.00°, γ = 73.19°
Fractional positions:
1 Ag 0.5159 0.9681 0.2500
2 Ag 0.4841 0.0319 0.7500
3 Gd 0.0000 0.0000 0.0000
4 Gd 0.0000 0.0000 0.5000
5 Mg 0.2349 0.5302 0.2500
6 Mg 0.7651 0.4698 0.7500
7 S 0.6466 0.7069 0.0754
8 S 0.8802 0.2397 0.2500
9 S 0.6466 0.7069 0.4246
10 S 0.3534 0.2931 0.5754
11 S 0.1198 0.7603 0.7500
12 S 0.3534 0.2931 0.9246


Most stable pick: version one. Distance to second place: 0.050 eV/atom.


Version one
GdMgAgSe3 after structural relaxation. Source: the Open Quantum Materials Database, functional PBE.

a = 7.7550 Å, b = 3.9679 Å, c = 9.4381 Å
α = 90.00°, β = 101.65°, γ = 90.00°
Fractional positions:
1 Ag 0.6051 0.2500 0.0782
2 Ag 0.3949 0.7500 0.9218
3 Gd 0.8160 0.7500 0.3277
4 Gd 0.1840 0.2500 0.6723
5 Mg 0.2775 0.7500 0.2172
6 Mg 0.7225 0.2500 0.7828
7 Se 0.8006 0.7500 0.0083
8 Se 0.5509 0.2500 0.3422
9 Se 0.0945 0.2500 0.3523
10 Se 0.9055 0.7500 0.6477
11 Se 0.4491 0.7500 0.6578
12 Se 0.1994 0.2500 0.9917


Version two
GdMgAgSe3 after structural relaxation. Source: the Open Quantum Materials Database, functional PBE.

a = 6.8915 Å, b = 6.8915 Å, c = 10.8329 Å
α = 90.00°, β = 90.00°, γ = 146.90°
Fractional positions:
1 Ag 0.5178 0.4822 0.2500
2 Ag 0.4822 0.5178 0.7500
3 Gd 0.0000 0.0000 0.0000
4 Gd 0.0000 0.0000 0.5000
5 Mg 0.2290 0.7710 0.2500
6 Mg 0.7710 0.2290 0.7500
7 Se 0.6497 0.3503 0.0717
8 Se 0.8816 0.1184 0.2500
9 Se 0.6497 0.3503 0.4283
10 Se 0.3503 0.6497 0.5717
11 Se 0.1184 0.8816 0.7500
12 Se 0.3503 0.6497 0.9283


Most stable pick: version one. Distance to second place: 0.026 eV/atom.